(1)
The following is a PBE-GGA calculation of a geometry-optimized Hf2ReH structure, from Alexandria via LeMat-Bulk.

a b c (Å): 6.237 6.237 5.459
angles (deg): 55.16 55.16 90.00
Atoms (fractional coordinates):
Re 0.750 0.250 0.500
Re 0.000 0.000 0.000
H 0.500 0.500 0.000
H 0.250 0.750 0.500
Hf 0.205 0.625 0.250
Hf 0.875 0.795 0.750
Hf 0.375 0.455 0.750
Hf 0.545 0.125 0.250

Values from the calculation:
Space group = I-42d, No. 122
Energy = -70.95 eV/cell

(2)
The following is a PBE-GGA calculation of a geometry-optimized ErRh4 structure, from Alexandria via LeMat-Bulk.

a b c (Å): 7.706 7.706 7.706
angles (deg): 109.47 109.47 109.47
Atoms (fractional coordinates):
Rh 0.353 0.353 0.000
Rh 0.750 0.250 0.500
Rh 0.000 0.000 0.208
Rh 0.353 0.000 0.353
Rh 0.792 0.792 0.792
Rh 0.000 0.647 0.647
Rh 0.208 0.000 0.000
Rh 0.647 0.000 0.647
Rh 0.250 0.500 0.750
Rh 0.000 0.208 0.000
Rh 0.500 0.250 0.750
Rh 0.750 0.500 0.250
Rh 0.250 0.750 0.500
Rh 0.500 0.750 0.250
Rh 0.647 0.647 0.000
Rh 0.000 0.353 0.353
Er 0.000 0.000 0.556
Er 0.556 0.000 0.000
Er 0.444 0.444 0.444
Er 0.000 0.556 0.000

Values from the calculation:
Space group = I-43m, No. 217
Energy = -140.42 eV/cell
Formation energy = -110 kJ/mol of formula units

(3)
The following is a PBE-GGA calculation of a geometry-optimized IrSe3 structure, from Alexandria via LeMat-Bulk.

a b c (Å): 4.774 4.774 3.104
angles (deg): 90.00 90.00 89.99
Atoms (fractional coordinates):
Se 0.500 0.000 0.500
Se 0.000 0.500 0.500
Se 0.500 0.500 0.000
Ir 0.000 0.000 0.000

Values from the calculation:
Uncorrected formation energy = 0.689 eV/atom
Space group = P4/mmm, No. 123
Energy = -16.56 eV/cell

(4)
The following is a PBE-GGA calculation of a geometry-optimized CaPm2Eu structure, from Alexandria via LeMat-Bulk.

a b c (Å): 4.168 5.971 5.971
angles (deg): 90.00 90.00 90.00
Each line ends with the local moment (μB).
Atoms (fractional coordinates):
Eu 0.500 0.500 0.500  6.87
Pm 0.000 0.500 0.000  0.07
Pm 0.000 0.000 0.500  0.07
Ca 0.500 0.000 0.000  0.00

Values from the calculation:
Space group = P4/mmm, No. 123
Energy = -21.23 eV/cell
Formation energy = 53 kJ/mol of formula units

(5)
The following is a PBE-GGA calculation of a geometry-optimized ErTh2Rh structure, from Alexandria via LeMat-Bulk.

a b c (Å): 3.738 3.738 10.537
angles (deg): 79.78 79.78 60.00
Atoms (fractional coordinates):
Th 0.892 0.892 0.323
Th 0.108 0.108 0.677
Er 0.000 0.000 0.000
Rh 0.500 0.500 0.500

Values from the calculation:
Space group = R-3m, No. 166
Energy = -26.93 eV/cell
Formation energy = -17 kJ/mol of formula units

(6)
The following is a PBE-GGA calculation of a geometry-optimized MnTl2Zn structure, from Alexandria via LeMat-Bulk.

a b c (Å): 4.468 3.671 5.746
angles (deg): 69.69 90.00 90.00
Each line ends with the local moment (μB).
Atoms (fractional coordinates):
Zn 0.000 0.697 0.485  -0.02
Tl 0.000 0.964 0.929  -0.03
Tl 0.500 0.290 0.314  -0.03
Mn 0.500 0.549 0.772  3.75

Values from the calculation:
Space group = Pm, No. 6
Energy = -13.82 eV/cell
Formation energy = 130 kJ/mol of formula units

Q: What is the formula in the fourth record?
A: CaPm2Eu

Q: Which of these has the highest energy?
A: MnTl2Zn

Q: Which of these has the highest energy?
A: MnTl2Zn